(1)
A relaxed TbThRh2 crystal. Source: the Alexandria database, functional PBE.

POSCAR file:
```
TbThRh2
1.0
4.0390 0.0000 0.0000
2.0195 3.4978 0.0000
2.0195 1.1659 6.6428
Rh Tb Th
2 1 1
Direct
0.7515 0.7515 0.7454
0.2485 0.2485 0.2546
0.0000 0.0000 0.0000
0.5000 0.5000 0.5000
```

The crystal system is trigonal. As for the density of states at the Fermi level: 2.99 states/eV/f.u. For the formation energy from the elements, the calculation gives -787 meV/atom. The value obtained for the energy is -29.90 eV for the cell shown. As for the energy above the lowest structure with this stoichiometry: 124 meV/atom.

=====

(2)
A relaxed TbTh2Rh5 crystal. Source: the Alexandria database, functional PBE.

POSCAR file:
```
TbTh2Rh5
1.0
4.4855 0.0000 0.0000
0.0000 5.9593 0.0000
0.0000 0.0000 11.7188
Tb Th Rh
2 4 10
Direct
0.0000 0.5000 0.5000
0.0000 0.0000 0.0000
0.5000 0.6468 0.1481
0.5000 0.3532 0.8519
0.5000 0.8532 0.6481
0.5000 0.1468 0.3519
0.0000 0.0000 0.5000
0.0000 0.5000 0.0000
0.0000 0.8965 0.2526
0.0000 0.1035 0.7474
0.0000 0.6035 0.7526
0.0000 0.3965 0.2474
0.5000 0.6768 0.3904
0.5000 0.3232 0.6096
0.5000 0.8232 0.8904
0.5000 0.1768 0.1096
```

The crystal system is orthorhombic. As for the density of states at the Fermi level: 4.23 states/eV/f.u. For the formation energy from the elements, the calculation gives -811 meV/atom. The value obtained for the energy is -125.43 eV for the cell shown.

=====

(3)
A relaxed Tb5ThRh6 crystal. Source: the Alexandria database, functional PBE.

POSCAR file:
```
Tb5ThRh6
1.0
-4.3864 -0.0501 2.1168
2.5063 -4.2032 5.0943
0.9043 3.7182 7.5203
Rh Tb Th
6 5 1
Direct
0.8372 0.5915 0.3265
0.8372 0.0820 0.3265
0.5000 0.7577 0.0000
0.5000 0.2423 0.0000
0.1628 0.9180 0.6735
0.1628 0.4085 0.6735
0.6734 0.1735 0.6529
0.3355 0.3354 0.3291
0.0000 0.5000 0.0000
0.6645 0.6646 0.6709
0.3266 0.8265 0.3471
0.0000 0.0000 0.0000
```

The crystal system is monoclinic. As for the density of states at the Fermi level: 6.85 states/eV/f.u. For the formation energy from the elements, the calculation gives -843 meV/atom. The value obtained for the energy is -84.80 eV for the cell shown.

=====

(4)
A relaxed TbTh2Rh2 crystal. Source: the Alexandria database, functional PBE.

POSCAR file:
```
TbTh2Rh2
1.0
0.4460 -6.0143 1.4248
4.2171 2.4621 3.8150
-5.9024 3.0940 -1.6593
Tb Th Rh
1 2 2
Direct
0.0000 0.0000 0.0000
0.1900 0.8100 0.5000
0.8100 0.1900 0.5000
0.4991 0.4991 0.2026
0.5009 0.5009 0.7974
```

The crystal system is orthorhombic. As for the density of states at the Fermi level: 5.16 states/eV/f.u. For the formation energy from the elements, the calculation gives -632 meV/atom. The value obtained for the energy is -37.33 eV for the cell shown. As for the energy above the lowest structure with this stoichiometry: 114 meV/atom.

=====

(5)
A relaxed Tb2ThRh2 crystal. Source: the Alexandria database, functional PBE.

POSCAR file:
```
Tb2ThRh2
1.0
-2.9860 1.7627 1.5821
-4.4715 -4.8182 1.5196
3.0341 0.4613 9.8034
Tb Th Rh
4 2 4
Direct
0.5973 0.7412 0.0642
0.8536 0.5961 0.6967
0.4027 0.2588 0.9358
0.1464 0.4039 0.3033
0.8481 0.9546 0.3491
0.1519 0.0454 0.6509
0.1285 0.8663 0.8767
0.4258 0.7004 0.4480
0.8715 0.1337 0.1233
0.5742 0.2996 0.5520
```

The crystal system is monoclinic. As for the density of states at the Fermi level: 3.92 states/eV/f.u. For the formation energy from the elements, the calculation gives -681 meV/atom. The value obtained for the energy is -69.58 eV for the cell shown.

=====

(6)
A relaxed TbTh4Rh4 crystal. Source: the Alexandria database, functional PBE.

POSCAR file:
```
TbTh4Rh4
1.0
5.7210 0.0000 0.0000
0.0000 9.1241 0.0000
0.0000 0.0000 9.1241
Tb Th Rh
2 8 8
Direct
0.0000 0.0000 0.0000
0.5000 0.5000 0.5000
0.4996 0.3050 0.9016
0.9996 0.5984 0.8050
0.4996 0.6950 0.0984
0.0004 0.1950 0.5984
0.5004 0.9016 0.6950
0.0004 0.8050 0.4016
0.9996 0.4016 0.1950
0.5004 0.0984 0.3050
0.5004 0.7971 0.3954
0.5004 0.2029 0.6046
0.0004 0.8954 0.7029
0.9996 0.2971 0.8954
0.9996 0.7029 0.1046
0.4996 0.3954 0.2029
0.4996 0.6046 0.7971
0.0004 0.1046 0.2971
```

The crystal system is tetragonal. As for the density of states at the Fermi level: 6.50 states/eV/f.u. For the formation energy from the elements, the calculation gives -780 meV/atom. The value obtained for the energy is -141.47 eV for the cell shown.

=====

(7)
A relaxed TbTh3Rh4 crystal. Source: the Alexandria database, functional PBE.

POSCAR file:
```
TbTh3Rh4
1.0
-0.3127 1.6531 -3.6860
5.1129 -4.2907 -2.3587
-2.8986 -5.9812 -2.4371
Rh Tb Th
4 1 3
Direct
0.0000 0.7540 0.7461
0.5003 0.7515 0.2514
0.0000 0.2463 0.2538
0.4996 0.2487 0.7486
0.5000 0.5001 0.0000
0.5000 0.0001 0.5000
0.9999 0.0001 0.0000
0.9999 0.5001 0.5000
```

The crystal system is orthorhombic. As for the density of states at the Fermi level: 5.11 states/eV/f.u. For the formation energy from the elements, the calculation gives -851 meV/atom. The value obtained for the energy is -63.11 eV for the cell shown.

=====

(8)
A relaxed Tb2Th3Rh2 crystal. Source: the Alexandria database, functional PBE.

POSCAR file:
```
Tb2Th3Rh2
1.0
-1.8287 2.6961 -2.0368
-3.0515 3.6617 3.9628
4.8475 7.4826 1.9288
Tb Th Rh
2 3 2
Direct
0.1626 0.4718 0.2030
0.8374 0.5282 0.7970
0.5000 0.0000 0.0000
0.3790 0.8044 0.4376
0.6210 0.1956 0.5624
0.1395 0.9267 0.7944
0.8605 0.0733 0.2056
```

The crystal system is monoclinic. As for the density of states at the Fermi level: 6.89 states/eV/f.u. For the formation energy from the elements, the calculation gives -536 meV/atom. The value obtained for the energy is -49.97 eV for the cell shown.

=====

(9)
A relaxed Tb2Th2Rh3 crystal. Source: the Alexandria database, functional PBE.

POSCAR file:
```
Tb2Th2Rh3
1.0
4.0645 -0.0049 -0.0023
-2.0267 6.6846 -0.0681
-0.0090 -1.0802 6.9495
Tb Th Rh
2 2 3
Direct
0.8669 0.7381 0.6343
0.1331 0.2619 0.3657
0.6279 0.2578 0.8881
0.3721 0.7422 0.1119
0.0000 0.0000 0.0000
0.7588 0.5137 0.2567
0.2412 0.4863 0.7433
```

The crystal system is triclinic. As for the density of states at the Fermi level: 4.88 states/eV/f.u. For the formation energy from the elements, the calculation gives -733 meV/atom. The value obtained for the energy is -51.28 eV for the cell shown.

=====

(10)
A relaxed TbTi2Rh2 crystal. Source: the Alexandria database, functional PBE.

POSCAR file:
```
TbTi2Rh2
1.0
-3.6418 0.7031 2.0600
-2.1705 -1.4738 -3.3343
3.1118 -4.5536 2.6864
Tb Ti Rh
1 2 2
Direct
0.0000 0.0000 0.0000
0.7500 0.2500 0.5000
0.2500 0.7500 0.5000
0.6222 0.6222 0.2444
0.3778 0.3778 0.7556
```

The crystal system is tetragonal. As for the density of states at the Fermi level: 5.40 states/eV/f.u. For the formation energy from the elements, the calculation gives -668 meV/atom. The value obtained for the energy is -38.47 eV for the cell shown.

=====

(11)
A relaxed TbTi4Rh5 crystal. Source: the Alexandria database, functional PBE.

POSCAR file:
```
TbTi4Rh5
1.0
-1.8365 0.4786 -2.4791
-2.0085 -2.1346 1.0757
-8.0779 11.7607 8.2548
Tb Ti Rh
1 4 5
Direct
0.0000 0.0000 0.0000
0.0000 0.0000 0.2161
0.0000 0.0000 0.4064
0.0000 0.0000 0.5936
0.0000 0.0000 0.7839
0.5000 0.5000 0.1316
0.5000 0.5000 0.3152
0.5000 0.5000 0.5000
0.5000 0.5000 0.6848
0.5000 0.5000 0.8684
```

The crystal system is tetragonal. As for the density of states at the Fermi level: 9.33 states/eV/f.u. For the formation energy from the elements, the calculation gives -758 meV/atom. The value obtained for the energy is -80.55 eV for the cell shown.

=====

(12)
A relaxed TbTiRh4 crystal. Source: the Alexandria database, functional PBE.

POSCAR file:
```
TbTiRh4
1.0
-2.7275 -2.8118 3.4621
2.4325 -3.5177 3.0068
0.5732 0.8879 5.1200
Rh Tb Ti
4 1 1
Direct
0.6248 0.6248 0.1257
0.6248 0.1257 0.6248
0.6248 0.6248 0.6248
0.1257 0.6248 0.6248
0.0000 0.0000 0.0000
0.2500 0.2500 0.2500
```

The crystal system is cubic. As for the density of states at the Fermi level: 4.10 states/eV/f.u. For the formation energy from the elements, the calculation gives -503 meV/atom. The value obtained for the energy is -44.95 eV for the cell shown.